ReHg2Pt | PBE | relaxed

- Energy of formation: 346 meV/atom
- Total DFT energy (no corrections): -17.707 eV/cell
- Total magnetization: 0.0 μB per formula unit
- Energy above the lowest structure with this stoichiometry: 0.00 kcal/mol of atoms

Cell: 2.8906 2.8906 8.8424 Å, 90.00 90.00 90.00°
Fractional coordinates of all 4 atoms:
Hg 0.5000 0.5000 0.2709
Re 0.5000 0.5000 0.7253
Hg 0.0000 0.0000 0.9747
Pt 0.0000 0.0000 0.5291